## Ba3Al5F12 (PBE-GGA)

Data for Ba3Al5F12 after structural relaxation.

As for the total energy: -802.978 eV for the cell shown. The energy relative to the elements, uncorrected comes out at -2.67 eV/atom.

The space group is Ia-3d (No. 230) and the conventional cell measures 14.3993, 14.3993 and 14.3993 Å, with angles of 90.00, 90.00 and 90.00 degrees. The asymmetric unit holds Ba at (0.0000, 0.2500, 0.1250), Al at (0.0000, 0.0000, 0.0000), Al at (0.0000, 0.2500, 0.3750) and F at (0.0358, 0.0693, 0.6014).